No. 1
Compound: La2Dy2Pd15
Source: Alexandria via LeMat-Bulk
Functional: PBE-GGA
Structure: optimized geometry

Results
V = 18.62 A^3/atom
ρ = 10.3 g cm⁻³
VASP energy = -5.707 eV per atom

Unit cell a=7.155 b=7.155 c=7.155 alpha=80.89 beta=80.89 gamma=80.89
Sites, in units of the cell vectors:
1 Pd 0.695 0.000 0.305
2 Pd 0.350 0.842 0.350
3 Pd 0.305 0.695 0.000
4 Pd 0.650 0.158 0.650
5 Pd 0.350 0.350 0.842
6 Pd 0.158 0.650 0.650
7 Pd 0.650 0.650 0.158
8 Pd 0.842 0.350 0.350
9 Pd 0.000 0.695 0.305
10 Pd 0.500 0.000 0.000
11 Pd 0.000 0.500 0.000
12 Pd 0.305 0.000 0.695
13 Pd 0.000 0.305 0.695
14 Pd 0.000 0.000 0.500
15 Pd 0.695 0.305 0.000
16 La 0.641 0.641 0.641
17 La 0.359 0.359 0.359
18 Dy 0.108 0.108 0.108
19 Dy 0.892 0.892 0.892

No. 2
Compound: La2DyPd
Source: Alexandria via LeMat-Bulk
Functional: PBE-GGA
Structure: optimized geometry

Results
V = 31.87 A^3/atom
ρ = 7.1 g cm⁻³
excess energy over the best structure of this formula in the dataset = 0.1555 eV per atom
VASP energy = -5.175 eV per atom

Unit cell a=3.908 b=3.908 c=9.900 alpha=78.62 beta=78.62 gamma=60.00
Sites, in units of the cell vectors:
1 La 0.067 0.067 0.799
2 La 0.267 0.267 0.200
3 Pd 0.667 0.667 0.999
4 Dy 0.499 0.499 0.502

No. 3
Compound: LaDyPd6
Source: Alexandria via LeMat-Bulk
Functional: PBE-GGA
Structure: optimized geometry

Results
V = 18.24 A^3/atom
ρ = 10.7 g cm⁻³
VASP energy = -5.920 eV per atom

Unit cell a=4.191 b=4.191 c=8.309 alpha=90.00 beta=90.00 gamma=90.00
Sites, in units of the cell vectors:
1 Dy 0.000 0.000 0.500
2 Pd 0.000 0.500 0.258
3 Pd 0.500 0.500 0.000
4 Pd 0.500 0.500 0.500
5 Pd 0.500 0.000 0.258
6 Pd 0.500 0.000 0.742
7 Pd 0.000 0.500 0.742
8 La 0.000 0.000 0.000